[1]
{"formula": "Ca2ZnAuCl", "functional": "PBE", "state": "optimized geometry", "lattice_angstrom": [[5.591, 0.000, 0.000], [0.000, 5.591, 0.000], [0.000, 0.000, 5.941]], "species": ["Ca", "Ca", "Zn", "Au", "Cl"], "frac_coords": [[0.000, 0.500, 0.000], [0.500, 0.000, 0.000], [0.000, 0.000, 0.500], [0.500, 0.500, 0.000], [0.500, 0.500, 0.500]], "space_group": "No. 123"}


[2]
{"formula": "V2GaRu4", "functional": "PBE", "state": "optimized geometry", "lattice_angstrom": [[2.099, 1.212, 6.710], [-2.099, 1.212, 6.710], [0.000, -2.424, 6.710]], "species": ["V", "V", "Ga", "Ru", "Ru", "Ru", "Ru"], "frac_coords": [[0.249, 0.249, 0.249], [0.751, 0.751, 0.751], [0.500, 0.500, 0.500], [0.119, 0.119, 0.119], [0.370, 0.370, 0.370], [0.630, 0.630, 0.630], [0.881, 0.881, 0.881]], "formation_enthalpy_0k_ev_per_fu": -0.53, "space_group": "No. 166"}


[3]
{"formula": "TbLu2Pb", "functional": "PBE", "state": "optimized geometry", "lattice_angstrom": [[3.609, 0.000, 0.000], [0.000, 3.609, 0.000], [0.000, 0.000, 9.002]], "species": ["Tb", "Lu", "Lu", "Pb"], "frac_coords": [[0.000, 0.000, 0.000], [0.500, 0.500, 0.264], [0.500, 0.500, 0.736], [0.000, 0.000, 0.500]], "formation_enthalpy_0k_ev_per_fu": -0.77, "space_group": "No. 123", "relative_energy_mev_per_atom": 47.7}


[4]
{"formula": "ZrInBr3", "functional": "PBE", "state": "optimized geometry", "lattice_angstrom": [[5.627, 0.000, 0.000], [0.000, 5.627, 0.000], [0.000, 0.000, 5.627]], "species": ["Zr", "In", "Br", "Br", "Br"], "frac_coords": [[0.000, 0.000, 0.000], [0.500, 0.500, 0.500], [0.000, 0.500, 0.500], [0.500, 0.000, 0.500], [0.500, 0.500, 0.000]], "space_group": "No. 221"}


[5]
{"formula": "Tm3Ge2OsC", "functional": "PBE", "state": "optimized geometry", "lattice_angstrom": [[-1.974, 2.318, 7.610], [1.974, -2.318, 7.610], [1.974, 2.318, -7.610]], "species": ["Tm", "Tm", "Tm", "Ge", "Ge", "Os", "C"], "frac_coords": [[0.000, 0.000, 0.000], [0.336, 0.836, 0.500], [0.664, 0.164, 0.500], [0.146, 0.646, 0.500], [0.854, 0.354, 0.500], [0.500, 0.500, 0.000], [0.500, 0.000, 0.500]], "formation_enthalpy_0k_ev_per_fu": -3.61, "space_group": "No. 71"}


[6]
{"formula": "Cs6H5Au", "functional": "PBE", "state": "optimized geometry", "lattice_angstrom": [[4.037, -6.992, 0.000], [4.037, 6.992, 0.000], [-2.697, 0.000, 7.555]], "species": ["Cs", "Cs", "Cs", "Cs", "Cs", "Cs", "H", "H", "H", "H", "H", "Au"], "frac_coords": [[0.052, 0.412, 0.244], [0.234, 0.234, 0.771], [0.412, 0.052, 0.244], [0.588, 0.948, 0.756], [0.766, 0.766, 0.229], [0.948, 0.588, 0.756], [0.000, 0.000, 0.000], [0.168, 0.832, 0.500], [0.335, 0.665, 0.000], [0.665, 0.335, 0.000], [0.832, 0.168, 0.500], [0.500, 0.500, 0.500]], "space_group": "No. 12"}


Result set for final energy: -2.266; -8.414; -4.538; -3.067; -6.674; -2.278 eV/atom, one per record in the order listed.